LiS2O6 | GGA-PBE | relaxed

```
LiS2O6
1.0
5.5616 -5.5545 0.0000
5.5616 5.5545 0.0000
-2.9810 0.0000 4.9786
Li S O
2 4 12
direct
0.2450 0.7550 0.7500
0.7550 0.2450 0.2500
0.1721 0.3326 0.6829
0.3326 0.1721 0.1829
0.6674 0.8279 0.8171
0.8279 0.6674 0.3171
0.0247 0.7382 0.4318
0.2212 0.2957 0.3105
0.2234 0.5323 0.8270
0.2618 0.9753 0.0682
0.2957 0.2212 0.8105
0.4677 0.7766 0.6730
0.5323 0.2234 0.3270
0.7043 0.7788 0.1895
0.7382 0.0247 0.9318
0.7766 0.4677 0.1730
0.7788 0.7043 0.6895
0.9753 0.2618 0.5682
```

Computed properties:
- D(E_F) (states/eV/f.u.) = 2.427
- space-group type = C2/c, No. 15
- excess energy over the best structure of this formula in the dataset (meV per atom) = 0


Ac4In2Se | GGA-PBE | relaxed

```
Ac4In2Se
1.0
5.9090 0.0000 0.0000
0.0000 5.9090 0.0000
0.0000 0.0000 16.5479
Ac In Se
8 4 2
direct
0.0000 0.0000 0.1862
0.0000 0.0000 0.8138
0.0000 0.5000 0.0000
0.0000 0.5000 0.5000
0.5000 0.0000 0.0000
0.5000 0.0000 0.5000
0.5000 0.5000 0.3138
0.5000 0.5000 0.6862
0.0000 0.0000 0.3864
0.0000 0.0000 0.6136
0.5000 0.5000 0.1136
0.5000 0.5000 0.8864
0.0000 0.0000 0.0000
0.5000 0.5000 0.5000
```

Computed properties:
- D(E_F) (states/eV/f.u.) = 6.874
- space-group type = I4/mmm, No. 139


Calculated values (μB per cell) of total moment for the records, taken in order: 0.3; 0.0.
Calculated values (eV per atom) of energy relative to the elements, uncorrected for the records, taken in order: -1.26; -0.52.